# 1
A geometry-optimized Sr8Ga2Pb structure. Source: Alexandria, functional PBE.

a = 5.6869 Å, b = 8.1523 Å, c = 10.4500 Å
α = 109.23°, β = 105.79°, γ = 90.00°
With the nearest neighbours (Å) after each atom.
Fractional coordinates of all 11 atoms:
Sr  0.5984  0.4594  0.1969  2 Ga 3.52, 1 Pb 3.59, 6 Sr 3.86-3.92
Sr  0.3263  0.0372  0.6526  3 Ga 3.26-3.63, 1 Pb 3.61
Sr  0.6737  0.9628  0.3474  3 Ga 3.26-3.63, 1 Pb 3.61
Sr  0.0331  0.7814  0.0662  1 Ga 3.32, 2 Pb 3.54
Sr  0.4016  0.5406  0.8031  2 Ga 3.52, 1 Pb 3.59, 6 Sr 3.86-3.92
Sr  0.1989  0.3109  0.3978  1 Ga 3.25
Sr  0.9669  0.2186  0.9338  1 Ga 3.32, 2 Pb 3.54
Sr  0.8011  0.6891  0.6022  1 Ga 3.25
Ga  0.8175  0.3062  0.6351  7 Sr 3.25-3.63
Ga  0.1825  0.6938  0.3649  7 Sr 3.25-3.63
Pb  0.5000  0.0000  0.0000  8 Sr 3.54-3.61

Output
Formation enthalpy at 0 K: -0.27 eV per atom
M_tot: 0.00 Bohr magnetons per cell
Calculated total energy: -2.383 eV per atom

***

# 2
A geometry-optimized Sr2Ga2Pb structure. Source: Alexandria, functional PBE.

a = 5.1554 Å, b = 5.1554 Å, c = 7.1986 Å
α = 69.02°, β = 69.02°, γ = 90.00°
With the nearest neighbours (Å) after each atom.
Fractional coordinates of all 5 atoms:
Sr  0.2500  0.7500  0.5000  4 Ga 3.22
Sr  0.7500  0.2500  0.5000  4 Ga 3.22
Pb  0.0000  0.0000  0.0000  8 Ga 3.83, 8 Sr 4.03
Ga  0.5945  0.5945  0.8111  1 Ga 2.35
Ga  0.4055  0.4055  0.1889  1 Ga 2.35

Output
Formation enthalpy at 0 K: -0.11 eV per atom
Distance to the lowest polymorph of the same formula: 332 meV/atom
M_tot: 0.00 Bohr magnetons per cell
Calculated total energy: -2.739 eV per atom

***

# 3
A geometry-optimized SrGaPb structure. Source: Alexandria, functional PBE.

a = 3.9015 Å, b = 3.9015 Å, c = 6.4839 Å
α = 107.51°, β = 107.51°, γ = 90.00°
With the nearest neighbours (Å) after each atom.
Fractional coordinates of all 3 atoms:
Pb  0.9219  0.9219  0.8438  4 Ga 3.08
Sr  0.6227  0.6227  0.2453  5 Ga 3.49-3.72, 5 Pb 3.51-3.63, 4 Sr 3.90
Ga  0.3055  0.3055  0.6109  4 Pb 3.08

Output
Formation enthalpy at 0 K: -0.29 eV per atom
M_tot: 0.00 Bohr magnetons per cell
Calculated total energy: -3.096 eV per atom

***

# 4
A geometry-optimized Sr2GaPb structure. Source: Alexandria, functional PBE.

a = 7.4951 Å, b = 4.9085 Å, c = 15.0368 Å
α = 90.00°, β = 90.00°, γ = 90.00°
With the nearest neighbours (Å) after each atom.
Fractional coordinates of all 16 atoms:
Sr  0.0000  0.5000  0.7449  4 Ga 3.49, 4 Pb 3.63
Sr  0.0000  0.0000  0.5243  4 Pb 3.53, 2 Ga 3.57
Sr  0.5000  0.0000  0.0760  4 Ga 3.37, 2 Pb 3.56
Sr  0.0000  0.5000  0.0243  4 Pb 3.53, 2 Ga 3.57
Sr  0.5000  0.5000  0.8370  4 Pb 3.39, 4 Ga 3.48
Sr  0.5000  0.5000  0.5760  4 Ga 3.37, 2 Pb 3.56
Sr  0.5000  0.0000  0.3370  4 Pb 3.39, 4 Ga 3.48
Sr  0.0000  0.0000  0.2449  4 Ga 3.49, 4 Pb 3.63
Pb  0.7936  0.0000  0.8902  1 Ga 2.97, 1 Pb 3.09
Pb  0.2064  0.5000  0.3902  1 Ga 2.97, 1 Pb 3.09
Pb  0.7936  0.5000  0.3902  1 Ga 2.97, 1 Pb 3.09
Pb  0.2064  0.0000  0.8902  1 Ga 2.97, 1 Pb 3.09
Ga  0.3184  0.5000  0.2006  1 Ga 2.72, 1 Pb 2.97
Ga  0.6816  0.5000  0.2006  1 Ga 2.72, 1 Pb 2.97
Ga  0.3184  0.0000  0.7006  1 Ga 2.72, 1 Pb 2.97
Ga  0.6816  0.0000  0.7006  1 Ga 2.72, 1 Pb 2.97

Output
Formation enthalpy at 0 K: -0.47 eV per atom
Distance to the lowest polymorph of the same formula: 25 meV/atom
M_tot: 0.00 Bohr magnetons per cell
Calculated total energy: -2.994 eV per atom

***

# 5
A geometry-optimized Sr2GaPb structure. Source: Alexandria, functional PBE.

a = 6.5870 Å, b = 4.5798 Å, c = 9.6768 Å
α = 90.00°, β = 108.29°, γ = 90.00°
With the nearest neighbours (Å) after each atom.
Fractional coordinates of all 8 atoms:
Pb  0.6276  0.2500  0.9597  2 Pb 3.08
Pb  0.3724  0.7500  0.0403  2 Pb 3.08
Ga  0.9065  0.7500  0.5292  2 Ga 2.74
Ga  0.0935  0.2500  0.4708  2 Ga 2.74
Sr  0.5551  0.2500  0.3343  4 Ga 3.37-3.68, 2 Pb 3.55
Sr  0.9689  0.7500  0.2010  3 Ga 3.33-3.37, 3 Pb 3.48-3.53
Sr  0.0311  0.2500  0.7990  3 Ga 3.33-3.37, 3 Pb 3.48-3.53
Sr  0.4449  0.7500  0.6657  4 Ga 3.37-3.68, 2 Pb 3.55

Output
Formation enthalpy at 0 K: -0.48 eV per atom
Distance to the lowest polymorph of the same formula: 12 meV/atom
M_tot: 0.00 Bohr magnetons per cell
Calculated total energy: -3.007 eV per atom

***

# 6
A geometry-optimized Sr2GaPb structure. Source: Alexandria, functional PBE.

a = 3.9669 Å, b = 3.9669 Å, c = 11.6124 Å
α = 80.17°, β = 80.17°, γ = 60.00°
With the nearest neighbours (Å) after each atom.
Fractional coordinates of all 4 atoms:
Sr  0.0996  0.0996  0.7011  3 Ga 3.24, 1 Pb 3.40
Sr  0.9004  0.9004  0.2989  3 Ga 3.24, 1 Pb 3.40
Pb  0.0000  0.0000  0.0000  2 Sr 3.40
Ga  0.5000  0.5000  0.5000  6 Sr 3.24

Output
Formation enthalpy at 0 K: -0.02 eV per atom
Distance to the lowest polymorph of the same formula: 473 meV/atom
M_tot: 0.00 Bohr magnetons per cell
Calculated total energy: -2.547 eV per atom

***

# 7
A geometry-optimized SrGa3Pb structure. Source: Alexandria, functional PBE.

a = 5.5447 Å, b = 5.5447 Å, c = 5.5447 Å
α = 90.00°, β = 90.00°, γ = 90.00°
With the nearest neighbours (Å) after each atom.
Fractional coordinates of all 5 atoms:
Ga  0.0000  0.0000  0.5000  2 Pb 2.77
Ga  0.5000  0.0000  0.0000  2 Pb 2.77
Ga  0.0000  0.5000  0.0000  2 Pb 2.77
Pb  0.0000  0.0000  0.0000  6 Ga 2.77
Sr  0.5000  0.5000  0.5000  12 Ga 3.92

Output
Formation enthalpy at 0 K: 0.26 eV per atom
Distance to the lowest polymorph of the same formula: 0 meV/atom
M_tot: 0.00 Bohr magnetons per cell
Calculated total energy: -2.638 eV per atom

***

# 8
A geometry-optimized Sr2GaPb structure. Source: Alexandria, functional PBE.

a = 6.5961 Å, b = 6.7359 Å, c = 6.7433 Å
α = 86.01°, β = 73.55°, γ = 74.34°
With the nearest neighbours (Å) after each atom.
Fractional coordinates of all 8 atoms:
Ga  0.3622  0.9277  0.6425  1 Ga 2.58
Ga  0.6378  0.0723  0.3575  1 Ga 2.58
Sr  0.7834  0.0666  0.8123  3 Pb 3.44-3.56, 4 Ga 3.46-3.64
Sr  0.7700  0.5441  0.2967  4 Pb 3.44-3.52, 3 Ga 3.45-3.59
Sr  0.2166  0.9334  0.1877  3 Pb 3.44-3.56, 4 Ga 3.46-3.64
Sr  0.2300  0.4559  0.7033  4 Pb 3.44-3.52, 3 Ga 3.45-3.59
Pb  0.3434  0.3979  0.1776  1 Ga 2.95, 1 Pb 3.19
Pb  0.6566  0.6021  0.8224  1 Ga 2.95, 1 Pb 3.19

Output
Formation enthalpy at 0 K: -0.49 eV per atom
Distance to the lowest polymorph of the same formula: 2 meV/atom
M_tot: 0.00 Bohr magnetons per cell
Calculated total energy: -3.017 eV per atom